1.
DFT (meta-GGA SCAN) results for a crystal of Co3As2H16O16 relaxed with PBEsol.

```
37
Lattice="5.126 -6.377 0.000 5.126 6.377 0.000 -1.252 0.000 4.607" Properties=species:S:1:pos:R:3 pbc="T T T"
Co 0.000 0.000 0.000
Co 5.126 1.377 0.000
Co 5.126 -1.377 0.000
As 2.725 0.000 1.676
As 6.276 0.000 2.931
H 0.438 1.048 2.936
H 0.757 1.693 4.385
H 3.288 2.569 2.373
H 4.003 3.627 3.379
H 0.438 -1.048 2.936
H 4.998 3.627 1.228
H 0.757 -1.693 4.385
H 5.713 2.569 2.234
H 3.288 -2.569 2.373
H 8.244 1.693 0.222
H 4.003 -3.627 3.379
H 8.564 1.048 1.671
H 4.998 -3.627 1.228
H 5.713 -2.569 2.234
H 8.244 -1.693 0.222
H 8.564 -1.048 1.671
O 3.871 4.873 0.879
O 0.986 0.000 1.754
O 3.309 2.905 3.314
O 5.131 4.873 3.728
O 3.223 1.454 0.911
O 5.692 2.905 1.294
O 3.248 0.000 3.318
O 3.223 -1.454 0.911
O 5.778 1.454 3.696
O 5.753 0.000 1.290
O 3.309 -2.905 3.314
O 5.778 -1.454 3.696
O 3.871 -4.873 0.879
O 5.692 -2.905 1.294
O 8.015 0.000 2.853
O 5.131 -4.873 3.728
```

Properties
calculated volume: 301.26 Å³ per cell
energy: -7.84 eV/atom
SG: C2/m, No. 12

2.
DFT (meta-GGA SCAN) results for a crystal of CaSbRhI2 relaxed with PBEsol.

```
5
Lattice="5.695 0.000 0.000 0.000 5.695 0.000 0.000 0.000 6.003" Properties=species:S:1:pos:R:3 pbc="T T T"
Ca 0.000 0.000 0.000
Sb 0.000 0.000 3.001
Rh 2.848 2.848 3.001
I 0.000 2.848 0.000
I 2.848 0.000 0.000
```

Properties
calculated volume: 194.69 Å³ per cell
formation energy (no corrections): 0.481 eV/atom
SG: P4/mmm, No. 123

3.
DFT (meta-GGA SCAN) results for a crystal of KSnPO5 relaxed with PBEsol.

```
64
Lattice="13.213 0.000 0.000 0.000 6.564 0.000 0.000 0.000 10.803" Properties=species:S:1:pos:R:3 pbc="T T T"
K 1.456 1.289 0.000
K 1.694 5.084 2.789
K 4.913 1.802 8.191
K 5.151 4.571 5.402
K 8.063 1.993 0.000
K 8.301 4.762 2.789
K 11.519 1.480 8.191
K 11.757 5.275 5.402
Sn 1.686 3.268 5.976
Sn 3.286 4.956 8.666
Sn 3.321 1.674 3.264
Sn 4.921 6.550 0.574
Sn 8.292 0.014 5.976
Sn 9.893 4.890 8.666
Sn 9.927 1.608 3.264
Sn 11.527 3.296 0.574
P 0.018 4.309 8.679
P 2.326 0.007 5.943
P 4.281 3.289 0.541
P 6.589 1.027 3.278
P 6.624 5.537 8.679
P 8.932 3.275 5.943
P 10.887 6.557 0.541
P 13.196 2.255 3.278
O 0.171 3.219 4.487
O 0.183 3.402 7.420
O 1.213 1.349 3.045
O 1.227 5.234 8.916
O 1.384 5.360 5.717
O 1.410 1.222 6.191
O 3.025 3.200 4.488
O 3.146 3.510 7.308
O 3.236 0.167 4.697
O 3.298 3.083 1.716
O 3.309 6.365 7.118
O 3.370 3.449 10.099
O 3.461 0.228 1.906
O 3.581 6.483 9.890
O 5.196 4.504 0.790
O 5.223 2.077 0.315
O 5.379 1.952 3.514
O 5.394 4.631 8.446
O 6.423 0.120 2.019
O 6.436 6.501 9.889
O 6.778 0.063 4.487
O 6.790 6.445 7.420
O 7.820 1.933 3.045
O 7.834 4.612 8.916
O 7.991 4.487 5.717
O 8.017 2.060 6.191
O 9.632 0.082 4.488
O 9.753 6.336 7.308
O 9.843 3.115 4.697
O 9.905 0.200 1.716
O 9.915 3.482 7.118
O 9.977 6.398 10.099
O 10.067 3.054 1.906
O 10.188 3.364 9.890
O 11.803 5.343 0.790
O 11.829 1.205 0.315
O 11.986 1.330 3.514
O 12.000 5.215 8.446
O 13.030 3.162 2.019
O 13.042 3.345 9.889
```

Properties
calculated volume: 937.03 Å³ per cell
formation energy (no corrections): -2.290 eV/atom
SG: Pna2_1, No. 33

4.
DFT (meta-GGA SCAN) results for a crystal of NiIr2Os relaxed with PBEsol.

```
4
Lattice="4.406 -1.336 0.000 4.406 1.336 0.000 -0.794 0.000 4.503" Properties=species:S:1:pos:R:3 pbc="T T T"
Ni 0.000 0.000 0.000
Ir 1.604 0.000 3.387
Ir 6.414 0.000 1.116
Os 4.009 0.000 2.252
```

Properties
relative energy among the computed polymorphs: 48 meV per atom
calculated volume: 53.02 Å³ per cell
SG: C2/m, No. 12

5.
DFT (meta-GGA SCAN) results for a crystal of TaNbSe2 relaxed with PBEsol.

```
4
Lattice="1.580 0.912 8.790 -1.580 0.912 8.790 0.000 -1.825 8.790" Properties=species:S:1:pos:R:3 pbc="T T T"
Ta 0.000 0.000 0.000
Nb 0.000 0.000 13.185
Se 0.000 0.000 10.612
Se 0.000 0.000 15.757
```

Properties
calculated volume: 76.04 Å³ per cell
formation energy (no corrections): -0.175 eV/atom
SG: R-3m, No. 166

6.
DFT (meta-GGA SCAN) results for a crystal of Cu3SbP4O16 relaxed with PBEsol.

```
24
Lattice="4.807 0.000 0.000 0.000 5.849 0.000 -0.221 0.000 9.703" Properties=species:S:1:pos:R:3 pbc="T T T"
Cu 0.000 0.000 0.000
Cu 0.835 2.924 4.219
Cu 3.164 0.000 4.685
Sb 2.445 2.924 8.934
P 0.955 0.000 2.964
P 2.283 0.000 7.671
P 3.390 2.924 5.890
P 4.733 2.924 1.156
O 1.184 0.000 1.435
O 1.423 2.924 0.773
O 1.536 1.233 8.389
O 1.536 4.615 8.389
O 1.702 1.202 3.637
O 1.702 4.647 3.637
O 1.871 2.924 5.836
O 1.987 0.000 6.200
O 3.733 2.924 7.467
O 3.757 0.000 8.013
O 3.947 1.765 0.390
O 3.947 4.084 0.390
O 4.106 1.709 5.256
O 4.106 4.139 5.256
O 4.239 0.000 3.137
O 4.536 2.924 2.627
```

Properties
calculated volume: 272.81 Å³ per cell
formation energy (no corrections): -1.789 eV/atom
SG: Pm, No. 6

7.
DFT (meta-GGA SCAN) results for a crystal of AlInGe3 relaxed with PBEsol.

```
5
Lattice="4.860 0.000 0.000 0.000 4.860 0.000 0.000 0.000 4.860" Properties=species:S:1:pos:R:3 pbc="T T T"
Al 0.000 0.000 0.000
In 2.430 2.430 2.430
Ge 0.000 0.000 2.430
Ge 0.000 2.430 0.000
Ge 2.430 0.000 0.000
```

Properties
relative energy among the computed polymorphs: 0 meV per atom
calculated volume: 114.77 Å³ per cell
SG: Pm-3m, No. 221

8.
DFT (meta-GGA SCAN) results for a crystal of SrTiP2F relaxed with PBEsol.

```
5
Lattice="5.165 0.000 0.000 0.000 5.165 0.000 0.000 0.000 5.962" Properties=species:S:1:pos:R:3 pbc="T T T"
Sr 0.000 0.000 0.000
Ti 0.000 0.000 2.981
P 0.000 2.583 0.000
P 2.583 0.000 0.000
F 2.583 2.583 2.981
```

Properties
calculated volume: 159.08 Å³ per cell
formation energy (no corrections): 1.247 eV/atom
SG: P4/mmm, No. 123